No. 1
GdBiIr | PBE | relaxed

abc: 3.8654 3.8654 5.6267
angles: 110.09 110.09 90.00
Last column: nearest neighbours and their distance in Å.
Positions (direct):
Gd  0.9221  0.9221  0.8442  4 Ir 2.92, 1 Bi 3.06
Bi  0.6106  0.6106  0.2212  1 Ir 2.89, 1 Gd 3.06
Ir  0.3173  0.3173  0.6346  1 Bi 2.89, 4 Gd 2.92

Output
- Space-group type: No. 107
- Calculated formation energy: -0.73 eV/f.u.

=====

No. 2
GdBiIr | PBE | relaxed

abc: 3.4991 4.7749 4.7749
angles: 120.00 90.00 90.00
Last column: nearest neighbours and their distance in Å.
Positions (direct):
Gd  0.6666  0.6667  0.3333  6 Ir 3.26-3.27, 6 Bi 3.26-3.27, 2 Gd 3.50
Ir  0.1670  0.0000  0.0000  3 Bi 2.76
Bi  0.1664  0.3333  0.6667  3 Ir 2.76

Output
- Space-group type: No. 187
- Calculated formation energy: -1.40 eV/f.u.

=====

No. 3
GdBi2Ir | PBE | relaxed

abc: 3.6833 3.6833 10.2323
angles: 79.63 79.63 60.00
Last column: nearest neighbours and their distance in Å.
Positions (direct):
Gd  0.0000  0.0000  0.0000  2 Bi 3.23
Ir  0.5000  0.5000  0.5000  6 Bi 2.77
Bi  0.1074  0.1074  0.6777  3 Ir 2.77
Bi  0.8926  0.8926  0.3223  3 Ir 2.77

Output
- Space-group type: No. 166
- Calculated formation energy: 0.61 eV/f.u.

=====

No. 4
KGdBi2 | PBE | relaxed

abc: 4.2313 4.2313 7.8268
angles: 90.00 90.00 90.00
Last column: nearest neighbours and their distance in Å.
Positions (direct):
K  0.5000  0.5000  0.5000  8 Bi 3.80, 2 Gd 3.91, 4 K 4.23
Gd  0.5000  0.5000  0.0000  8 Bi 3.38
Bi  0.0000  0.0000  0.7990  1 Bi 3.15, 4 Gd 3.38
Bi  0.0000  0.0000  0.2010  1 Bi 3.15, 4 Gd 3.38

Output
- Relative energy among the computed polymorphs: 0.0000 eV per atom
- Space-group type: No. 123
- Calculated formation energy: -2.19 eV/f.u.

=====

No. 5
KGdBi2 | PBE | relaxed

abc: 4.8989 4.8989 8.1760
angles: 72.57 72.57 60.00
Last column: nearest neighbours and their distance in Å.
Positions (direct):
K  0.5000  0.5000  0.5000  6 Bi 3.70
Gd  0.0000  0.0000  0.0000  6 Bi 3.18
Bi  0.2705  0.2705  0.1884  3 Gd 3.18
Bi  0.7295  0.7295  0.8116  3 Gd 3.18

Output
- Relative energy among the computed polymorphs: 0.1586 eV per atom
- Space-group type: No. 166
- Calculated formation energy: -1.56 eV/f.u.

=====

No. 6
LaGd2Bi | PBE | relaxed

abc: 4.9548 4.9821 4.9821
angles: 90.00 90.00 90.00
Last column: nearest neighbours and their distance in Å.
Positions (direct):
Gd  0.0000  0.0000  0.5000  4 La 3.51, 4 Bi 3.51, 4 Gd 3.52
Gd  0.0000  0.5000  0.0000  4 La 3.51, 4 Bi 3.51, 4 Gd 3.52
Bi  0.5000  0.0000  0.0000  8 Gd 3.51, 4 La 3.52
La  0.5000  0.5000  0.5000  8 Gd 3.51, 4 Bi 3.52

Output
- Relative energy among the computed polymorphs: 0.0000 eV per atom
- Space-group type: No. 123
- Calculated formation energy: -1.74 eV/f.u.

=====

No. 7
LaGdBi2 | PBE | relaxed

abc: 4.6167 4.6167 7.9778
angles: 73.18 73.18 60.00
Last column: nearest neighbours and their distance in Å.
Positions (direct):
Gd  0.5000  0.5000  0.5000  6 Bi 3.22
Bi  0.7536  0.7536  0.7391  3 Gd 3.22, 3 La 3.31
Bi  0.2464  0.2464  0.2609  3 Gd 3.22, 3 La 3.31
La  0.0000  0.0000  0.0000  6 Bi 3.31

Output
- Relative energy among the computed polymorphs: 0.0000 eV per atom
- Space-group type: No. 166
- Calculated formation energy: -3.92 eV/f.u.

=====

No. 8
LaGd2Bi | PBE | relaxed

abc: 3.5951 3.5951 12.4263
angles: 81.68 81.68 60.00
Last column: nearest neighbours and their distance in Å.
Positions (direct):
Gd  0.0866  0.0866  0.7403  1 Bi 3.18
Gd  0.9134  0.9134  0.2597  1 Bi 3.18
Bi  0.0000  0.0000  0.0000  2 Gd 3.18
La  0.5000  0.5000  0.5000  6 La 3.60, 6 Gd 3.60

Output
- Relative energy among the computed polymorphs: 0.4464 eV per atom
- Space-group type: No. 166
- Calculated formation energy: 0.05 eV/f.u.

=====

No. 9
LaGdBi2 | PBE | relaxed

abc: 3.5024 5.9695 5.9695
angles: 90.00 90.00 90.00
Last column: nearest neighbours and their distance in Å.
Positions (direct):
Gd  0.5000  0.5000  0.5000  8 Bi 3.46, 2 Gd 3.50
Bi  0.0000  0.0000  0.5000  4 Gd 3.46, 4 La 3.46, 2 Bi 3.50
Bi  0.0000  0.5000  0.0000  4 Gd 3.46, 4 La 3.46, 2 Bi 3.50
La  0.5000  0.0000  0.0000  8 Bi 3.46, 2 La 3.50

Output
- Relative energy among the computed polymorphs: 0.1918 eV per atom
- Space-group type: No. 123
- Calculated formation energy: -3.15 eV/f.u.

=====

No. 10
LaGd2Bi | PBE | relaxed

abc: 4.1201 4.1201 7.4679
angles: 90.00 90.00 90.00
Last column: nearest neighbours and their distance in Å.
Positions (direct):
Gd  0.0000  0.0000  0.7192  1 Gd 3.27, 4 Bi 3.34, 4 La 3.59
Gd  0.0000  0.0000  0.2808  1 Gd 3.27, 4 Bi 3.34, 4 La 3.59
Bi  0.5000  0.5000  0.5000  8 Gd 3.34, 2 La 3.73
La  0.5000  0.5000  0.0000  8 Gd 3.59, 2 Bi 3.73

Output
- Relative energy among the computed polymorphs: 0.0256 eV per atom
- Space-group type: No. 123
- Calculated formation energy: -1.64 eV/f.u.

=====

No. 11
LiLaGdBi | PBE | relaxed

abc: 5.4824 5.4824 5.4824
angles: 60.00 60.00 60.00
Last column: nearest neighbours and their distance in Å.
Positions (direct):
Gd  0.2500  0.2500  0.2500  4 Li 3.36, 4 Bi 3.36
Li  0.5000  0.5000  0.5000  4 Gd 3.36, 4 La 3.36
Bi  0.0000  0.0000  0.0000  4 Gd 3.36, 4 La 3.36
La  0.7500  0.7500  0.7500  4 Li 3.36, 4 Bi 3.36

Output
- Space-group type: No. 216
- Calculated formation energy: -1.53 eV/f.u.

=====

No. 12
LaGdBiPb | PBE | relaxed

abc: 5.6183 5.6183 5.6183
angles: 60.00 60.00 60.00
Last column: nearest neighbours and their distance in Å.
Positions (direct):
Pb  0.2500  0.2500  0.2500  4 Gd 3.44, 4 La 3.44
Gd  0.5000  0.5000  0.5000  4 Bi 3.44, 4 Pb 3.44
Bi  0.7500  0.7500  0.7500  4 Gd 3.44, 4 La 3.44
La  0.0000  0.0000  0.0000  4 Pb 3.44, 4 Bi 3.44

Output
- Space-group type: No. 216
- Calculated formation energy: -2.33 eV/f.u.

=====

No. 13
LaGdBiTe | PBE | relaxed

abc: 5.5665 5.5665 5.5665
angles: 60.00 60.00 60.00
Last column: nearest neighbours and their distance in Å.
Positions (direct):
Gd  0.7500  0.7500  0.7500  4 Bi 3.41, 4 Te 3.41
Te  0.0000  0.0000  0.0000  4 Gd 3.41, 4 La 3.41
Bi  0.5000  0.5000  0.5000  4 La 3.41, 4 Gd 3.41
La  0.2500  0.2500  0.2500  4 Te 3.41, 4 Bi 3.41

Output
- Formation energy (no corrections): -1.056 eV/atom
- Space-group type: No. 216

=====

No. 14
Li2GdBi | PBE | relaxed

abc: 4.9237 4.4958 4.4958
angles: 90.00 90.00 90.00
Last column: nearest neighbours and their distance in Å.
Positions (direct):
Gd  0.5000  0.5000  0.5000  4 Bi 3.18, 8 Li 3.33
Bi  0.5000  0.0000  0.0000  4 Gd 3.18, 8 Li 3.33
Li  0.0000  0.0000  0.5000  4 Li 3.18, 4 Bi 3.33, 4 Gd 3.33
Li  0.0000  0.5000  0.0000  4 Li 3.18, 4 Bi 3.33, 4 Gd 3.33

Output
- Relative energy among the computed polymorphs: 0.0000 eV per atom
- Space-group type: No. 123
- Calculated formation energy: -1.71 eV/f.u.

=====

No. 15
Li2GdBi | PBE | relaxed

abc: 3.3900 3.3900 11.4080
angles: 81.46 81.46 60.00
Last column: nearest neighbours and their distance in Å.
Positions (direct):
Gd  0.0000  0.0000  0.0000  2 Li 3.29, 6 Gd 3.39
Bi  0.5000  0.5000  0.5000  6 Li 3.05, 6 Bi 3.39
Li  0.0975  0.0975  0.7076  3 Bi 3.05, 1 Gd 3.29, 6 Li 3.39
Li  0.9025  0.9025  0.2924  3 Bi 3.05, 1 Gd 3.29, 6 Li 3.39

Output
- Relative energy among the computed polymorphs: 0.4568 eV per atom
- Space-group type: No. 166
- Calculated formation energy: 0.12 eV/f.u.

=====

No. 16
LiNdGdBi | PBE | relaxed

abc: 5.4181 5.4181 5.4181
angles: 60.00 60.00 60.00
Last column: nearest neighbours and their distance in Å.
Positions (direct):
Gd  0.7500  0.7500  0.7500  4 Li 3.32, 4 Bi 3.32
Nd  0.2500  0.2500  0.2500  4 Li 3.32, 4 Bi 3.32
Bi  0.5000  0.5000  0.5000  4 Gd 3.32, 4 Nd 3.32
Li  0.0000  0.0000  0.0000  4 Gd 3.32, 4 Nd 3.32

Output
- Space-group type: No. 216
- Calculated formation energy: -1.45 eV/f.u.

=====

No. 17
LiGdBiPd | PBE | relaxed

abc: 4.9302 4.9302 4.9302
angles: 60.00 60.00 60.00
Last column: nearest neighbours and their distance in Å.
Positions (direct):
Gd  0.2500  0.2500  0.2500  4 Pd 3.02, 4 Li 3.02
Bi  0.7500  0.7500  0.7500  4 Li 3.02, 4 Pd 3.02
Pd  0.0000  0.0000  0.0000  4 Gd 3.02, 4 Bi 3.02
Li  0.5000  0.5000  0.5000  4 Gd 3.02, 4 Bi 3.02

Output
- Space-group type: No. 216
- Calculated formation energy: -2.41 eV/f.u.

=====

No. 18
LiPmGdBi | PBE | relaxed

abc: 5.3999 5.3999 5.3999
angles: 60.00 60.00 60.00
Last column: nearest neighbours and their distance in Å.
Positions (direct):
Gd  0.2500  0.2500  0.2500  4 Bi 3.31, 4 Li 3.31
Li  0.0000  0.0000  0.0000  4 Gd 3.31, 4 Pm 3.31
Bi  0.5000  0.5000  0.5000  4 Pm 3.31, 4 Gd 3.31
Pm  0.7500  0.7500  0.7500  4 Li 3.31, 4 Bi 3.31

Output
- Space-group type: No. 216
- Calculated formation energy: -1.43 eV/f.u.

=====

No. 19
LiPrGdBi | PBE | relaxed

abc: 5.4403 5.4403 5.4403
angles: 60.00 60.00 60.00
Last column: nearest neighbours and their distance in Å.
Positions (direct):
Pr  0.0000  0.0000  0.0000  4 Li 3.33, 4 Bi 3.33
Gd  0.5000  0.5000  0.5000  4 Li 3.33, 4 Bi 3.33
Bi  0.7500  0.7500  0.7500  4 Pr 3.33, 4 Gd 3.33
Li  0.2500  0.2500  0.2500  4 Gd 3.33, 4 Pr 3.33

Output
- Space-group type: No. 216
- Calculated formation energy: -1.46 eV/f.u.

=====

No. 20
LiGdBiRh | PBE | relaxed

abc: 4.8213 4.8213 4.8213
angles: 60.00 60.00 60.00
Last column: nearest neighbours and their distance in Å.
Positions (direct):
Gd  0.2500  0.2500  0.2500  4 Li 2.95, 4 Rh 2.95
Rh  0.5000  0.5000  0.5000  4 Bi 2.95, 4 Gd 2.95
Bi  0.7500  0.7500  0.7500  4 Rh 2.95, 4 Li 2.95
Li  0.0000  0.0000  0.0000  4 Gd 2.95, 4 Bi 2.95

Output
- Space-group type: No. 216
- Calculated formation energy: -2.63 eV/f.u.

=====

We obtain total DFT energy (no corrections) values of -9.1852 -9.4087 -7.5229 -6.2827 -6.1241 -9.6770 -7.6716 -9.2306 -7.4798 -9.6514 -6.5822 -7.2311 -7.5640 -5.8750 -5.4182 -6.5224 -6.8695 -6.5136 -6.5295 -7.4650 eV/atom for the records listed above, in that order.